[1]
The following is a GGA-PBE calculation of a relaxed PrNpFe crystal, from Alexandria.

Lattice parameters (Å, degrees): 10.447 4.567 5.711 90.00 97.11 90.00
Fractional coordinates of all 12 atoms:
Pr 0.150 0.016 0.288
Pr 0.150 0.484 0.788
Pr 0.850 0.516 0.212
Pr 0.850 0.984 0.712
Np 0.440 0.107 0.654
Np 0.440 0.393 0.154
Np 0.560 0.607 0.846
Np 0.560 0.893 0.346
Fe 0.333 0.558 0.432
Fe 0.333 0.942 0.932
Fe 0.667 0.058 0.068
Fe 0.667 0.442 0.568

Output
Calculated formation energy   115.6 meV per atom
Calculated volume   270.4 Å³ per cell

[2]
The following is a GGA-PBE calculation of a relaxed Np2FePt9 crystal, from Alexandria.

Lattice parameters (Å, degrees): 4.086 4.086 12.218 90.13 90.13 90.00
Fractional coordinates of all 12 atoms:
Np 0.000 0.000 0.174
Np 0.000 0.000 0.826
Fe 0.000 0.000 0.500
Pt 0.000 0.499 0.654
Pt 0.000 0.500 0.000
Pt 0.000 0.501 0.346
Pt 0.499 0.000 0.654
Pt 0.500 0.000 0.000
Pt 0.500 0.500 0.173
Pt 0.500 0.500 0.500
Pt 0.500 0.500 0.827
Pt 0.501 0.000 0.346

Output
Calculated formation energy   -450.8 meV per atom
Calculated volume   204.0 Å³ per cell

[3]
The following is a GGA-PBE calculation of a relaxed NpFe2Pt crystal, from Alexandria.

Lattice parameters (Å, degrees): 4.055 4.055 3.688 90.00 90.00 90.00
Fractional coordinates of all 4 atoms:
Np 0.000 0.000 0.000
Fe 0.000 0.500 0.500
Fe 0.500 0.000 0.500
Pt 0.500 0.500 0.000

Output
Calculated formation energy   -238.6 meV per atom
Calculated volume   60.7 Å³ per cell

[4]
The following is a GGA-PBE calculation of a relaxed NpFePt crystal, from Alexandria.

Lattice parameters (Å, degrees): 4.960 4.960 7.724 106.65 106.65 32.67
Fractional coordinates of all 6 atoms:
Np 0.083 0.083 0.407
Np 0.917 0.917 0.593
Fe 0.467 0.467 0.132
Fe 0.533 0.533 0.868
Pt 0.250 0.250 0.824
Pt 0.750 0.750 0.176

Output
Calculated formation energy   70.0 meV per atom
Calculated volume   97.9 Å³ per cell

[5]
The following is a GGA-PBE calculation of a relaxed Np2FePtRh5 crystal, from Alexandria.

Lattice parameters (Å, degrees): 8.089 8.089 8.089 129.59 129.59 74.07
Fractional coordinates of all 18 atoms:
Np 0.121 0.621 0.743
Np 0.379 0.121 0.500
Np 0.621 0.879 0.500
Np 0.879 0.379 0.257
Fe 0.250 0.250 0.000
Fe 0.750 0.750 0.000
Pt 0.250 0.750 0.500
Pt 0.750 0.250 0.500
Rh 0.000 0.000 0.000
Rh 0.084 0.122 0.500
Rh 0.122 0.622 0.037
Rh 0.378 0.416 0.500
Rh 0.416 0.916 0.037
Rh 0.500 0.500 0.000
Rh 0.584 0.084 0.963
Rh 0.622 0.584 0.500
Rh 0.878 0.378 0.963
Rh 0.916 0.878 0.500

Output
Calculated formation energy   57.6 meV per atom
Calculated volume   306.5 Å³ per cell

[6]
The following is a GGA-PBE calculation of a relaxed NpUFePt crystal, from Alexandria.

Lattice parameters (Å, degrees): 4.608 4.608 4.608 60.00 60.00 60.00
Fractional coordinates of all 4 atoms:
Np 0.000 0.000 0.000
U 0.750 0.750 0.750
Fe 0.250 0.250 0.250
Pt 0.500 0.500 0.500

Output
Calculated formation energy   -366.9 meV per atom
Calculated volume   69.2 Å³ per cell

[7]
The following is a GGA-PBE calculation of a relaxed Pu2NpFe crystal, from Alexandria.

Lattice parameters (Å, degrees): 4.568 4.568 4.568 60.00 60.00 60.00
Fractional coordinates of all 4 atoms:
Pu 0.250 0.250 0.250
Pu 0.750 0.750 0.750
Np 0.000 0.000 0.000
Fe 0.500 0.500 0.500

Output
Calculated formation energy   223.8 meV per atom
Polymorph energy (0 for the lowest one)   3 meV/atom
Calculated volume   67.4 Å³ per cell

[8]
The following is a GGA-PBE calculation of a relaxed Pu3NpFe8 crystal, from Alexandria.

Lattice parameters (Å, degrees): 9.009 9.009 9.009 31.85 31.85 31.85
Fractional coordinates of all 12 atoms:
Pu 0.000 0.000 0.000
Pu 0.126 0.126 0.126
Pu 0.504 0.504 0.504
Np 0.626 0.626 0.626
Fe 0.064 0.564 0.564
Fe 0.065 0.065 0.564
Fe 0.065 0.564 0.065
Fe 0.314 0.314 0.314
Fe 0.564 0.064 0.564
Fe 0.564 0.065 0.065
Fe 0.564 0.564 0.064
Fe 0.814 0.814 0.814

Output
Calculated formation energy   -44.6 meV per atom
Calculated volume   180.9 Å³ per cell

[9]
The following is a GGA-PBE calculation of a relaxed Pu2NpFe crystal, from Alexandria.

Lattice parameters (Å, degrees): 3.349 3.349 6.701 90.00 90.00 90.00
Fractional coordinates of all 4 atoms:
Pu 0.000 0.000 0.228
Pu 0.000 0.000 0.772
Np 0.500 0.500 0.500
Fe 0.500 0.500 0.000

Output
Calculated formation energy   220.9 meV per atom
Polymorph energy (0 for the lowest one)   0 meV/atom
Calculated volume   75.2 Å³ per cell

[10]
The following is a GGA-PBE calculation of a relaxed PuNpFe crystal, from Alexandria.

Lattice parameters (Å, degrees): 5.129 5.129 5.129 142.62 142.62 53.90
Fractional coordinates of all 3 atoms:
Pu 0.000 0.000 0.000
Np 0.638 0.638 0.000
Fe 0.313 0.313 0.000

Output
Calculated formation energy   277.6 meV per atom
Polymorph energy (0 for the lowest one)   130 meV/atom
Calculated volume   49.4 Å³ per cell

[11]
The following is a GGA-PBE calculation of a relaxed Pu2NpFe crystal, from Alexandria.

Lattice parameters (Å, degrees): 11.586 11.586 11.586 13.31 13.31 13.31
Fractional coordinates of all 4 atoms:
Pu 0.078 0.078 0.078
Pu 0.922 0.922 0.922
Np 0.500 0.500 0.500
Fe 0.000 0.000 0.000

Output
Calculated formation energy   631.5 meV per atom
Polymorph energy (0 for the lowest one)   411 meV/atom
Calculated volume   71.7 Å³ per cell

[12]
The following is a GGA-PBE calculation of a relaxed PuNpFe crystal, from Alexandria.

Lattice parameters (Å, degrees): 3.692 3.692 8.977 95.40 95.40 60.04
Fractional coordinates of all 6 atoms:
Pu 0.200 0.200 0.241
Pu 0.800 0.800 0.759
Np 0.108 0.108 0.629
Np 0.892 0.892 0.371
Fe 0.162 0.162 0.969
Fe 0.838 0.838 0.031

Output
Calculated formation energy   247.4 meV per atom
Polymorph energy (0 for the lowest one)   99 meV/atom
Calculated volume   105.4 Å³ per cell

[13]
The following is a GGA-PBE calculation of a relaxed PuNpFe crystal, from Alexandria.

Lattice parameters (Å, degrees): 4.373 4.373 2.693 90.00 90.00 120.00
Fractional coordinates of all 3 atoms:
Pu 0.000 0.000 0.000
Np 0.333 0.667 0.191
Fe 0.667 0.333 0.594

Output
Calculated formation energy   148.1 meV per atom
Polymorph energy (0 for the lowest one)   0 meV/atom
Calculated volume   44.6 Å³ per cell

[14]
The following is a GGA-PBE calculation of a relaxed PuNpFeRh crystal, from Alexandria.

Lattice parameters (Å, degrees): 4.479 4.479 4.479 60.00 60.00 60.00
Fractional coordinates of all 4 atoms:
Pu 0.000 0.000 0.000
Np 0.750 0.750 0.750
Fe 0.250 0.250 0.250
Rh 0.500 0.500 0.500

Output
Calculated formation energy   -149.5 meV per atom
Calculated volume   63.5 Å³ per cell

[15]
The following is a GGA-PBE calculation of a relaxed PuNpFeRu crystal, from Alexandria.

Lattice parameters (Å, degrees): 4.730 4.730 4.730 60.00 60.00 60.00
Fractional coordinates of all 4 atoms:
Pu 0.000 0.000 0.000
Np 0.500 0.500 0.500
Fe 0.750 0.750 0.750
Ru 0.250 0.250 0.250

Output
Calculated formation energy   55.3 meV per atom
Calculated volume   74.8 Å³ per cell

[16]
The following is a GGA-PBE calculation of a relaxed PuNpUFe crystal, from Alexandria.

Lattice parameters (Å, degrees): 4.606 4.606 4.606 60.00 60.00 60.00
Fractional coordinates of all 4 atoms:
Pu 0.000 0.000 0.000
Np 0.500 0.500 0.500
U 0.250 0.250 0.250
Fe 0.750 0.750 0.750

Output
Calculated formation energy   150.9 meV per atom
Calculated volume   69.1 Å³ per cell

[17]
The following is a GGA-PBE calculation of a relaxed PuNpZnFe crystal, from Alexandria.

Lattice parameters (Å, degrees): 4.494 4.494 4.494 60.00 60.00 60.00
Fractional coordinates of all 4 atoms:
Pu 0.000 0.000 0.000
Np 0.250 0.250 0.250
Zn 0.750 0.750 0.750
Fe 0.500 0.500 0.500

Output
Calculated formation energy   200.0 meV per atom
Calculated volume   64.2 Å³ per cell

[18]
The following is a GGA-PBE calculation of a relaxed RbNpFeS3 crystal, from Alexandria.

Lattice parameters (Å, degrees): 9.091 3.909 9.281 90.00 110.54 90.00
Fractional coordinates of all 12 atoms:
Rb 0.201 0.250 0.236
Rb 0.799 0.750 0.764
Np 0.324 0.750 0.841
Np 0.676 0.250 0.159
Fe 0.081 0.250 0.585
Fe 0.919 0.750 0.415
S 0.127 0.250 0.847
S 0.172 0.750 0.534
S 0.463 0.750 0.154
S 0.537 0.250 0.846
S 0.828 0.250 0.466
S 0.873 0.750 0.153

Output
Energy relative to the elements, uncorrected   -6.36 eV/f.u.
Calculated volume   308.8 Å³ per cell

[19]
The following is a GGA-PBE calculation of a relaxed RbNpFe2S4 crystal, from Alexandria.

Lattice parameters (Å, degrees): 6.251 6.251 6.251 118.95 111.33 98.76
Fractional coordinates of all 8 atoms:
Rb 0.000 0.000 0.000
Np 0.500 0.500 0.000
Fe 0.340 0.840 0.500
Fe 0.660 0.160 0.500
S 0.094 0.072 0.562
S 0.490 0.928 0.022
S 0.510 0.531 0.438
S 0.906 0.469 0.978

Output
Energy relative to the elements, uncorrected   -4.29 eV/f.u.
Calculated volume   182.2 Å³ per cell

[20]
The following is a GGA-PBE calculation of a relaxed Rb2NpFe2S4 crystal, from Alexandria.

Lattice parameters (Å, degrees): 7.502 7.502 8.009 108.43 108.43 29.76
Fractional coordinates of all 9 atoms:
Rb 0.134 0.134 0.052
Rb 0.866 0.866 0.948
Np 0.000 0.000 0.500
Fe 0.311 0.311 0.524
Fe 0.689 0.689 0.476
S 0.198 0.198 0.667
S 0.471 0.471 0.721
S 0.529 0.529 0.279
S 0.802 0.802 0.333

Output
Energy relative to the elements, uncorrected   -8.12 eV/f.u.
Calculated volume   211.4 Å³ per cell

[21]
The following is a GGA-PBE calculation of a relaxed RbNpFeS4 crystal, from Alexandria.

Lattice parameters (Å, degrees): 6.383 6.255 9.184 90.00 108.36 90.00
Fractional coordinates of all 14 atoms:
Rb 0.239 0.250 0.443
Rb 0.761 0.750 0.557
Np 0.265 0.250 0.949
Np 0.735 0.750 0.051
Fe 0.275 0.750 0.163
Fe 0.725 0.250 0.837
S 0.069 0.750 0.924
S 0.074 0.750 0.317
S 0.483 0.511 0.802
S 0.483 0.989 0.802
S 0.517 0.011 0.198
S 0.517 0.489 0.198
S 0.926 0.250 0.683
S 0.931 0.250 0.076

Output
Energy relative to the elements, uncorrected   -6.67 eV/f.u.
Calculated volume   348.0 Å³ per cell

[22]
The following is a GGA-PBE calculation of a relaxed RbNpFeSe3 crystal, from Alexandria.

Lattice parameters (Å, degrees): 9.561 4.054 9.821 90.00 110.42 90.00
Fractional coordinates of all 12 atoms:
Rb 0.205 0.250 0.238
Rb 0.795 0.750 0.762
Np 0.327 0.750 0.843
Np 0.673 0.250 0.157
Fe 0.061 0.250 0.583
Fe 0.939 0.750 0.417
Se 0.119 0.250 0.849
Se 0.205 0.750 0.534
Se 0.461 0.750 0.154
Se 0.539 0.250 0.846
Se 0.795 0.250 0.466
Se 0.881 0.750 0.151

Output
Energy relative to the elements, uncorrected   -5.48 eV/f.u.
Calculated volume   356.7 Å³ per cell

[23]
The following is a GGA-PBE calculation of a relaxed Rb3Np2FeTe6 crystal, from Alexandria.

Lattice parameters (Å, degrees): 7.749 7.749 8.847 98.43 98.43 120.02
Fractional coordinates of all 12 atoms:
Rb 0.000 0.000 0.000
Rb 0.329 0.671 0.000
Rb 0.671 0.329 0.000
Np 0.166 0.834 0.500
Np 0.834 0.166 0.500
Fe 0.500 0.500 0.500
Te 0.122 0.437 0.311
Te 0.248 0.248 0.692
Te 0.437 0.122 0.311
Te 0.563 0.878 0.689
Te 0.752 0.752 0.308
Te 0.878 0.563 0.689

Output
Energy relative to the elements, uncorrected   -7.79 eV/f.u.
Calculated volume   439.8 Å³ per cell

[24]
The following is a GGA-PBE calculation of a relaxed NpFe4Re crystal, from Alexandria.

Lattice parameters (Å, degrees): 4.824 4.824 4.824 60.00 60.00 60.00
Fractional coordinates of all 6 atoms:
Np 0.000 0.000 0.000
Fe 0.376 0.376 0.376
Fe 0.376 0.376 0.873
Fe 0.376 0.873 0.376
Fe 0.873 0.376 0.376
Re 0.750 0.750 0.750

Output
Calculated formation energy   245.4 meV per atom
Calculated volume   79.4 Å³ per cell

[25]
The following is a GGA-PBE calculation of a relaxed NpFe2Re crystal, from Alexandria.

Lattice parameters (Å, degrees): 3.905 3.905 3.734 90.00 90.00 90.00
Fractional coordinates of all 4 atoms:
Np 0.000 0.000 0.000
Fe 0.000 0.500 0.500
Fe 0.500 0.000 0.500
Re 0.500 0.500 0.000

Output
Calculated formation energy   190.0 meV per atom
Calculated volume   57.0 Å³ per cell

Result set for E_tot: -103.34, -94.12, -36.86, -54.47, -153.25, -40.20, -49.17, -124.17, -49.18, -34.90, -47.54, -69.99, -35.29, -43.68, -44.79, -46.42, -36.21, -82.22, -51.63, -56.44, -91.09, -76.61, -63.88, -57.77, -41.55 eV for the cell shown, one per record in the order listed.